(1)
{"formula": "Ac3Sn4Pb", "functional": "PBE-GGA", "state": "relaxed", "formation_energy_ev_per_atom": -0.46, "spacegroup": "Immm (71)", "lattice": [[4.735, 0.000, 0.000], [0.000, 7.423, 0.000], [-2.367, -3.712, 8.474]], "species": ["Ac", "Ac", "Ac", "Sn", "Sn", "Sn", "Sn", "Pb"], "frac_coords": [[0.000, 0.500, 0.000], [0.183, 0.183, 0.367], [0.817, 0.817, 0.633], [0.370, 0.562, 0.740], [0.370, 0.178, 0.740], [0.630, 0.438, 0.260], [0.630, 0.822, 0.260], [0.500, 0.000, 0.000]]}

(2)
{"formula": "BaPmPtO4", "functional": "PBE-GGA", "state": "relaxed", "formation_energy_uncorrected_ev_per_atom": -1.937, "spacegroup": "Imma (74)", "lattice": [[-1.873, -5.133, -3.597], [5.353, 4.236, -2.883], [1.553, -4.463, 5.559]], "species": ["Pt", "Pt", "O", "O", "O", "O", "O", "O", "O", "O", "Pm", "Pm", "Ba", "Ba"], "frac_coords": [[0.000, 0.500, 0.500], [0.500, 0.500, 0.500], [0.719, 0.438, 0.634], [0.281, 0.562, 0.366], [0.719, 0.438, 0.305], [0.646, 0.891, 0.195], [0.354, 0.109, 0.805], [0.281, 0.562, 0.695], [0.756, 0.109, 0.805], [0.244, 0.891, 0.195], [0.500, 0.000, 0.500], [0.500, 0.000, 0.000], [0.816, 0.632, 0.066], [0.184, 0.368, 0.934]]}

> What is the formula in the first record?

Ac3Sn4Pb